(1)
A plane-wave DFT calculation with GGA-PBE was carried out for a relaxed BeCoSn2 crystal.

The space group is F-43m (No. 216) and the conventional cell measures 6.578, 6.578 and 6.578 Å, with angles of 90.00, 90.00 and 90.00 degrees. The asymmetric unit holds Be at (0.000, 0.000, 0.000), Co at (0.250, 0.250, 0.250), Sn at (0.000, 0.000, 0.500) and Sn at (0.250, 0.250, 0.750).

For the total energy, the calculation gives -4.001 eV/atom.

---

(2)
A plane-wave DFT calculation with GGA-PBE was carried out for a relaxed BeCoSn crystal.

The space group is F-43m (No. 216) and the conventional cell measures 5.688, 5.688 and 5.688 Å, with angles of 90.00, 90.00 and 90.00 degrees. The asymmetric unit holds Be at (0.000, 0.000, 0.000), Co at (0.250, 0.250, 0.250) and Sn at (0.000, 0.000, 0.500).

The calculation puts the energy above the most stable polymorph in this dataset at 0 meV/atom.

---

(3)
A plane-wave DFT calculation with GGA-PBE was carried out for a relaxed TaBeCoSn crystal.

The space group is F-43m (No. 216) and the conventional cell measures 6.220, 6.220 and 6.220 Å, with angles of 90.00, 90.00 and 90.00 degrees. The asymmetric unit holds Ta at (0.000, 0.000, 0.000), Be at (0.250, 0.250, 0.750), Co at (0.000, 0.000, 0.500) and Sn at (0.250, 0.250, 0.250).

The calculation puts the energy above the most stable polymorph in this dataset at 256 meV/atom.

---

(4)
A plane-wave DFT calculation with GGA-PBE was carried out for a relaxed TaBeCoSn crystal.

The space group is F-43m (No. 216) and the conventional cell measures 6.126, 6.126 and 6.126 Å, with angles of 90.00, 90.00 and 90.00 degrees. The asymmetric unit holds Ta at (0.000, 0.000, 0.000), Be at (0.250, 0.250, 0.250), Co at (0.250, 0.250, 0.750) and Sn at (0.000, 0.000, 0.500).

The calculation puts the energy above the most stable polymorph in this dataset at 0 meV/atom.

---

(5)
A plane-wave DFT calculation with GGA-PBE was carried out for a relaxed BeCoTcSn crystal.

The space group is F-43m (No. 216) and the conventional cell measures 6.017, 6.017 and 6.017 Å, with angles of 90.00, 90.00 and 90.00 degrees. The asymmetric unit holds Be at (0.000, 0.000, 0.000), Co at (0.250, 0.250, 0.750), Tc at (0.250, 0.250, 0.250) and Sn at (0.000, 0.000, 0.500).

The calculation puts the energy above the most stable polymorph in this dataset at 0 meV/atom.

---

(6)
A plane-wave DFT calculation with GGA-PBE was carried out for a relaxed BeTlCoSn crystal.

The space group is F-43m (No. 216) and the conventional cell measures 6.476, 6.476 and 6.476 Å, with angles of 90.00, 90.00 and 90.00 degrees. The asymmetric unit holds Be at (0.000, 0.000, 0.000), Tl at (0.250, 0.250, 0.250), Co at (0.000, 0.000, 0.500) and Sn at (0.250, 0.250, 0.750).

The calculation puts the energy above the most stable polymorph in this dataset at 0 meV/atom.

---

Q: Which magnetic moment values were calculated for the entries above? A: 0.15, 0.10, 8.02, 0.07, 2.14, 0.02, in μB/cell.